(1)
This record from Alexandria describes crystalline MgZnGeO4 at its relaxed geometry. The functional is PBE-GGA.

Computed properties:
crystal system = orthorhombic
formation energy without anion corrections = -1.912 eV/atom

Cell lengths 5.907, 5.974, 8.408 Å; angles 90.00, 90.00, 90.00 degrees
Space group Imma (No. 74)
Inequivalent atoms, fractional coordinates:
Mg  0.000  0.000  0.000 [4 per cell]
Zn  0.250  0.250  0.250 [4 per cell]
Ge  0.000  0.250  0.624 [4 per cell]
O  0.000  0.005  0.751 [8 per cell]
O  0.249  0.250  0.997 [8 per cell]

=====

(2)
This record from Alexandria describes crystalline Mg2Ge4Os3 at its relaxed geometry. The functional is PBE-GGA.

Computed properties:
crystal system = orthorhombic
formation enthalpy at 0 K = 0.114 eV per atom

Cell lengths 5.114, 10.091, 12.087 Å; angles 90.00, 90.00, 90.00 degrees
Space group Fmmm (No. 69)
Inequivalent atoms, fractional coordinates:
Mg  0.000  0.000  0.115 [8 per cell]
Ge  0.000  0.151  0.331 [16 per cell]
Os  0.000  0.000  0.500 [4 per cell]
Os  0.250  0.250  0.000 [8 per cell]

=====

(3)
This record from Alexandria describes crystalline MgGeOs at its relaxed geometry. The functional is PBE-GGA.

Computed properties:
crystal system = orthorhombic
formation enthalpy at 0 K = 0.231 eV per atom

Cell lengths 4.976, 13.335, 6.276 Å; angles 90.00, 90.00, 90.00 degrees
Space group Cmce (No. 64)
Inequivalent atoms, fractional coordinates:
Mg  0.000  0.206  0.055 [8 per cell]
Ge  0.250  0.064  0.750 [8 per cell]
Os  0.000  0.092  0.397 [8 per cell]

=====

(4)
This record from Alexandria describes crystalline Mg2GeOs2 at its relaxed geometry. The functional is PBE-GGA.

Computed properties:
crystal system = tetragonal
formation enthalpy at 0 K = -0.002 eV per atom

Cell lengths 6.303, 6.303, 4.376 Å; angles 90.00, 90.00, 90.00 degrees
Space group P4/mbm (No. 127)
Inequivalent atoms, fractional coordinates:
Mg  0.165  0.335  0.000 [4 per cell]
Ge  0.000  0.000  0.500 [2 per cell]
Os  0.138  0.638  0.500 [4 per cell]

=====

(5)
This record from Alexandria describes crystalline MgGeOs at its relaxed geometry. The functional is PBE-GGA.

Computed properties:
crystal system = hexagonal
formation enthalpy at 0 K = 0.001 eV per atom

Cell lengths 4.2303, 4.2303, 3.2076 Å; angles 90.00, 90.00, 120.00 degrees
Space group P-6m2 (No. 187)
Inequivalent atoms, fractional coordinates:
Mg  0.0000  0.0000  0.0000 [1 per cell]
Ge  0.3333  0.6667  0.5000 [1 per cell]
Os  0.6667  0.3333  0.5000 [1 per cell]

=====

(6)
This record from Alexandria describes crystalline Mg2GeOs at its relaxed geometry. The functional is PBE-GGA.

Computed properties:
crystal system = tetragonal
formation enthalpy at 0 K = 0.354 eV per atom

Cell lengths 10.015, 10.015, 4.710 Å; angles 90.00, 90.00, 90.00 degrees
Space group I-42d (No. 122)
Inequivalent atoms, fractional coordinates:
Mg  0.003  0.250  0.125 [8 per cell]
Ge  0.000  0.000  0.500 [4 per cell]
Os  0.000  0.000  0.000 [4 per cell]

=====

(7)
This record from Alexandria describes crystalline PmMgGe2Os at its relaxed geometry. The functional is PBE-GGA.

Computed properties:
crystal system = tetragonal
formation enthalpy at 0 K = -0.381 eV per atom

Cell lengths 4.108, 4.108, 11.350 Å; angles 90.00, 90.00, 90.00 degrees
Space group I-4m2 (No. 119)
Inequivalent atoms, fractional coordinates:
Pm  0.000  0.000  0.000 [2 per cell]
Mg  0.000  0.500  0.750 [2 per cell]
Ge  0.000  0.000  0.387 [4 per cell]
Os  0.000  0.500  0.250 [2 per cell]

=====

(8)
This record from Alexandria describes crystalline SmMgGe2Os at its relaxed geometry. The functional is PBE-GGA.

Computed properties:
crystal system = tetragonal
formation enthalpy at 0 K = -0.378 eV per atom

Cell lengths 4.095, 4.095, 11.346 Å; angles 90.00, 90.00, 90.00 degrees
Space group I-4m2 (No. 119)
Inequivalent atoms, fractional coordinates:
Sm  0.000  0.000  0.000 [2 per cell]
Mg  0.000  0.500  0.750 [2 per cell]
Ge  0.000  0.000  0.388 [4 per cell]
Os  0.000  0.500  0.250 [2 per cell]

=====

(9)
This record from Alexandria describes crystalline Mg2TcGeOs at its relaxed geometry. The functional is PBE-GGA.

Computed properties:
crystal system = tetragonal
formation enthalpy at 0 K = 1.306 eV per atom

Cell lengths 4.693, 4.693, 4.581 Å; angles 90.00, 90.00, 90.00 degrees
Space group P4/mmm (No. 123)
Inequivalent atoms, fractional coordinates:
Mg  0.000  0.500  0.000 [2 per cell]
Tc  0.000  0.000  0.500 [1 per cell]
Ge  0.000  0.000  0.000 [1 per cell]
Os  0.500  0.500  0.500 [1 per cell]

=====

(10)
This record from Alexandria describes crystalline Mg2TlGeOs at its relaxed geometry. The functional is PBE-GGA.

Computed properties:
crystal system = tetragonal
formation enthalpy at 0 K = 1.590 eV per atom

Cell lengths 5.156, 5.156, 5.192 Å; angles 90.00, 90.00, 90.00 degrees
Space group P4/mmm (No. 123)
Inequivalent atoms, fractional coordinates:
Mg  0.000  0.500  0.000 [2 per cell]
Tl  0.000  0.000  0.000 [1 per cell]
Ge  0.000  0.000  0.500 [1 per cell]
Os  0.500  0.500  0.500 [1 per cell]

=====

(11)
This record from Alexandria describes crystalline Mg3GeP at its relaxed geometry. The functional is PBE-GGA.

Computed properties:
crystal system = cubic
excess energy over the best structure of this formula in the dataset = 0.0000 eV per atom
formation enthalpy at 0 K = -0.045 eV per atom

Cell lengths 4.840, 4.840, 4.840 Å; angles 90.00, 90.00, 90.00 degrees
Space group Pm-3m (No. 221)
Inequivalent atoms, fractional coordinates:
Mg  0.000  0.000  0.500 [3 per cell]
Ge  0.500  0.500  0.500 [1 per cell]
P  0.000  0.000  0.000 [1 per cell]

=====

(12)
This record from Alexandria describes crystalline MgGeP3 at its relaxed geometry. The functional is PBE-GGA.

Computed properties:
crystal system = cubic
excess energy over the best structure of this formula in the dataset = 0.0000 eV per atom
formation enthalpy at 0 K = 0.745 eV per atom

Cell lengths 4.724, 4.724, 4.724 Å; angles 90.00, 90.00, 90.00 degrees
Space group Pm-3m (No. 221)
Inequivalent atoms, fractional coordinates:
Mg  0.000  0.000  0.000 [1 per cell]
Ge  0.500  0.500  0.500 [1 per cell]
P  0.000  0.500  0.500 [3 per cell]

=====

(13)
This record from Alexandria describes crystalline Mg2GeP2 at its relaxed geometry. The functional is PBE-GGA.

Computed properties:
crystal system = tetragonal
excess energy over the best structure of this formula in the dataset = 0.0000 eV per atom
formation enthalpy at 0 K = -0.165 eV per atom

Cell lengths 7.519, 7.519, 3.219 Å; angles 90.00, 90.00, 90.00 degrees
Space group P4/mbm (No. 127)
Inequivalent atoms, fractional coordinates:
Mg  0.140  0.360  0.000 [4 per cell]
Ge  0.000  0.000  0.500 [2 per cell]
P  0.163  0.663  0.500 [4 per cell]

=====

(14)
This record from Alexandria describes crystalline Mg3GeP at its relaxed geometry. The functional is PBE-GGA.

Computed properties:
crystal system = cubic
excess energy over the best structure of this formula in the dataset = 0.2637 eV per atom
formation enthalpy at 0 K = 0.219 eV per atom

Cell lengths 4.937, 4.937, 4.937 Å; angles 90.00, 90.00, 90.00 degrees
Space group Pm-3m (No. 221)
Inequivalent atoms, fractional coordinates:
Mg  0.000  0.000  0.500 [3 per cell]
Ge  0.000  0.000  0.000 [1 per cell]
P  0.500  0.500  0.500 [1 per cell]

=====

(15)
This record from Alexandria describes crystalline MgGe2P at its relaxed geometry. The functional is PBE-GGA.

Computed properties:
crystal system = trigonal
excess energy over the best structure of this formula in the dataset = 0.0842 eV per atom
formation enthalpy at 0 K = 0.212 eV per atom

Cell lengths 3.4597, 3.4597, 25.6226 Å; angles 90.00, 90.00, 120.00 degrees
Space group R-3m (No. 166, hexagonal axes)
Inequivalent atoms, fractional coordinates:
Mg  0.0000  0.0000  0.0000 [3 per cell]
Ge  0.0000  0.0000  0.1071 [6 per cell]
P  0.0000  0.0000  0.5000 [3 per cell]

=====

(16)
This record from Alexandria describes crystalline Mg2GeP2 at its relaxed geometry. The functional is PBE-GGA.

Computed properties:
crystal system = tetragonal
excess energy over the best structure of this formula in the dataset = 0.1986 eV per atom
formation enthalpy at 0 K = 0.034 eV per atom

Cell lengths 4.157, 4.157, 11.418 Å; angles 90.00, 90.00, 90.00 degrees
Space group I4/mmm (No. 139)
Inequivalent atoms, fractional coordinates:
Mg  0.000  0.500  0.250 [4 per cell]
Ge  0.000  0.000  0.000 [2 per cell]
P  0.000  0.000  0.384 [4 per cell]

=====

(17)
This record from Alexandria describes crystalline MgGe2P at its relaxed geometry. The functional is PBE-GGA.

Computed properties:
crystal system = cubic
excess energy over the best structure of this formula in the dataset = 0.1864 eV per atom
formation enthalpy at 0 K = 0.314 eV per atom

Cell lengths 6.666, 6.666, 6.666 Å; angles 90.00, 90.00, 90.00 degrees
Space group Fm-3m (No. 225)
Inequivalent atoms, fractional coordinates:
Mg  0.000  0.000  0.000 [4 per cell]
Ge  0.250  0.250  0.250 [8 per cell]
P  0.000  0.000  0.500 [4 per cell]

=====

(18)
This record from Alexandria describes crystalline MgGe2P2 at its relaxed geometry. The functional is PBE-GGA.

Computed properties:
crystal system = tetragonal
formation enthalpy at 0 K = 0.115 eV per atom

Cell lengths 7.268, 7.268, 3.625 Å; angles 90.00, 90.00, 90.00 degrees
Space group P4/mbm (No. 127)
Inequivalent atoms, fractional coordinates:
Mg  0.000  0.000  0.000 [2 per cell]
Ge  0.141  0.359  0.500 [4 per cell]
P  0.193  0.693  0.000 [4 per cell]

=====

(19)
This record from Alexandria describes crystalline MgGe2P at its relaxed geometry. The functional is PBE-GGA.

Computed properties:
crystal system = tetragonal
excess energy over the best structure of this formula in the dataset = 0.0000 eV per atom
formation enthalpy at 0 K = 0.127 eV per atom

Cell lengths 6.152, 6.152, 10.447 Å; angles 90.00, 90.00, 90.00 degrees
Space group I-42d (No. 122)
Inequivalent atoms, fractional coordinates:
Mg  0.000  0.000  0.000 [4 per cell]
Ge  0.211  0.250  0.625 [8 per cell]
P  0.000  0.000  0.500 [4 per cell]

=====

(20)
This record from Alexandria describes crystalline MgGeP2Pb at its relaxed geometry. The functional is PBE-GGA.

Computed properties:
crystal system = tetragonal
formation enthalpy at 0 K = 0.677 eV per atom

Cell lengths 4.751, 4.751, 5.653 Å; angles 90.00, 90.00, 90.00 degrees
Space group P4/mmm (No. 123)
Inequivalent atoms, fractional coordinates:
Mg  0.000  0.000  0.000 [1 per cell]
Ge  0.500  0.500  0.500 [1 per cell]
P  0.000  0.500  0.500 [2 per cell]
Pb  0.500  0.500  0.000 [1 per cell]

=====

DOS at the Fermi energy, respectively: 0.000; 22.105; 22.398; 10.001; 1.472; 8.259; 8.629; 8.659; 4.723; 4.100; 4.752; 5.130; 2.475; 5.147; 3.862; 2.725; 7.505; 3.566; 5.046; 3.383 states/eV per cell.
Calculated volume, respectively: 10.60; 17.33; 17.35; 17.39; 16.57; 29.53; 19.15; 19.02; 20.17; 27.60; 22.67; 21.09; 18.20; 24.07; 22.13; 19.73; 18.51; 19.15; 24.71; 25.53 Å³/atom.